1.
A plane-wave DFT calculation with meta-GGA SCAN was carried out for a crystal of CrMo2Pb relaxed with PBEsol.

POSCAR file:
```
CrMo2Pb
1.0
3.020 0.000 0.000
1.510 2.615 0.000
1.510 0.872 8.477
Pb Cr Mo
1 1 2
direct
0.500 0.500 0.500 Pb
0.000 0.000 0.000 Cr
0.736 0.736 0.792 Mo
0.264 0.264 0.208 Mo
```

Computed properties:
Space group: No. 166
Crystal system: trigonal

=====

2.
A plane-wave DFT calculation with meta-GGA SCAN was carried out for a crystal of NbTlZn2Sb relaxed with PBEsol.

POSCAR file:
```
NbTlZn2Sb
1.0
-3.325 1.706 3.236
1.678 -3.175 3.398
3.466 3.607 1.659
Sb Nb Zn Tl
1 1 2 1
direct
0.000 0.000 0.000 Sb
0.000 0.000 0.500 Nb
0.000 0.500 0.000 Zn
0.500 0.000 0.000 Zn
0.500 0.500 0.500 Tl
```

Computed properties:
Space group: No. 123
Raw formation energy in meV/atom: 962
Crystal system: tetragonal

=====

3.
A plane-wave DFT calculation with meta-GGA SCAN was carried out for a crystal of TaPOs2 relaxed with PBEsol.

POSCAR file:
```
TaPOs2
1.0
2.868 0.000 0.000
0.000 2.868 0.000
0.000 0.000 6.820
Os Ta P
2 1 1
direct
0.000 0.000 0.791 Os
0.000 0.000 0.209 Os
0.500 0.500 0.500 Ta
0.500 0.500 0.000 P
```

Computed properties:
Space group: No. 123
Crystal system: tetragonal

=====

4.
A plane-wave DFT calculation with meta-GGA SCAN was carried out for a crystal of KSeN2O relaxed with PBEsol.

POSCAR file:
```
KSeN2O
1.0
-2.880 3.787 0.893
-3.544 -1.898 -3.380
-2.294 -2.665 3.902
Se K O N
1 1 1 2
direct
0.500 0.500 0.500 Se
0.000 0.000 0.000 K
0.500 0.000 0.000 O
0.000 0.500 0.000 N
0.000 0.000 0.500 N
```

Computed properties:
Space group: No. 123
Raw formation energy in meV/atom: 2108
Crystal system: tetragonal

=====

5.
A plane-wave DFT calculation with meta-GGA SCAN was carried out for a crystal of TeRuSe2 relaxed with PBEsol.

POSCAR file:
```
TeRuSe2
1.0
4.599 -0.008 0.012
-1.825 4.222 -0.012
1.825 1.819 3.810
Se Te Ru
2 1 1
direct
0.000 0.000 0.000 Se
0.500 0.750 0.750 Se
0.000 0.500 0.500 Te
0.500 0.250 0.250 Ru
```

Computed properties:
Space group: No. 119
Raw formation energy in meV/atom: 630
Crystal system: tetragonal

=====

6.
A plane-wave DFT calculation with meta-GGA SCAN was carried out for a crystal of Li2TeCl relaxed with PBEsol.

POSCAR file:
```
Li2TeCl
1.0
3.483 -0.040 -0.002
-1.522 3.139 -0.002
-1.733 -1.081 7.035
Li Te Cl
2 1 1
direct
0.969 0.238 0.205 Li
0.031 0.762 0.795 Li
0.500 0.000 0.500 Te
0.500 0.500 0.000 Cl
```

Computed properties:
Space group: No. 2
Raw formation energy in meV/atom: -1343
Crystal system: triclinic

=====

7.
A plane-wave DFT calculation with meta-GGA SCAN was carried out for a crystal of CrAgSN2 relaxed with PBEsol.

POSCAR file:
```
CrAgSN2
1.0
-3.549 -0.819 1.333
0.468 -3.709 -1.031
2.041 -1.071 4.778
N S Cr Ag
2 1 1 1
direct
0.500 0.000 0.000 N
0.000 0.500 0.000 N
0.000 0.000 0.500 S
0.500 0.500 0.500 Cr
0.000 0.000 0.000 Ag
```

Computed properties:
Space group: No. 123
Raw formation energy in meV/atom: 1559
Crystal system: tetragonal

=====

8.
A plane-wave DFT calculation with meta-GGA SCAN was carried out for a crystal of LiYAu2 relaxed with PBEsol.

POSCAR file:
```
LiYAu2
1.0
3.534 0.000 0.020
0.000 4.691 0.000
-0.026 0.000 4.692
Y Li Au
1 1 2
direct
0.375 0.500 0.872 Y
0.374 0.000 0.375 Li
0.875 0.000 0.881 Au
0.875 0.500 0.372 Au
```

Computed properties:
Space group: No. 6
Crystal system: monoclinic

=====

9.
A plane-wave DFT calculation with meta-GGA SCAN was carried out for a crystal of ReRhBr2 relaxed with PBEsol.

POSCAR file:
```
ReRhBr2
1.0
3.016 -0.083 0.000
-1.549 2.590 0.000
0.000 0.000 9.797
Br Rh Re
2 1 1
direct
0.500 0.500 0.702 Br
0.000 0.000 0.041 Br
0.500 0.500 0.273 Rh
0.000 0.000 0.483 Re
```

Computed properties:
Space group: No. 35
Raw formation energy in meV/atom: 730
Crystal system: orthorhombic

=====

10.
A plane-wave DFT calculation with meta-GGA SCAN was carried out for a crystal of Sn3ClO relaxed with PBEsol.

POSCAR file:
```
Sn3ClO
1.0
4.900 0.000 0.000
0.000 4.900 0.000
0.000 0.000 4.900
Sn O Cl
3 1 1
direct
0.000 0.000 0.500 Sn
0.000 0.500 0.000 Sn
0.500 0.000 0.000 Sn
0.000 0.000 0.000 O
0.500 0.500 0.500 Cl
```

Computed properties:
Space group: No. 221
Raw formation energy in meV/atom: -68
Crystal system: cubic

=====

11.
A plane-wave DFT calculation with meta-GGA SCAN was carried out for a crystal of LaAlBr2 relaxed with PBEsol.

POSCAR file:
```
LaAlBr2
1.0
-1.086 -2.770 -2.491
2.380 -2.969 -0.759
-3.560 -7.006 6.322
Br Al La
2 1 1
direct
0.903 0.903 0.292 Br
0.097 0.097 0.708 Br
0.500 0.500 0.500 Al
0.000 0.000 0.000 La
```

Computed properties:
Space group: No. 166
Raw formation energy in meV/atom: -565
Crystal system: trigonal

=====

12.
A plane-wave DFT calculation with meta-GGA SCAN was carried out for a crystal of ZnIn2CuN relaxed with PBEsol.

POSCAR file:
```
ZnIn2CuN
1.0
3.443 0.000 0.000
0.000 5.396 0.000
0.000 0.000 5.396
In Cu N Zn
2 1 1 1
direct
0.000 0.500 0.000 In
0.000 0.000 0.500 In
0.500 0.500 0.500 Cu
0.500 0.000 0.000 N
0.000 0.000 0.000 Zn
```

Computed properties:
Space group: No. 123
Raw formation energy in meV/atom: 808
Crystal system: tetragonal

=====

Looking at DFT total energy for the records above, in order, we have -40.2794; -32.9935; -55.4126; -8.5357; -27.4288; -13.8456; -14.0332; -42.9515; -35.2165; -24.4621; -23.0094; -20.1474 eV per atom.